DFT (PBEsol) results for crystalline TaGeTe2Br at its relaxed geometry. Values from VASP.

Structure (Quantum ESPRESSO input):
```
&SYSTEM
  ibrav = 0, nat = 5, ntyp = 4
/
ATOMIC_SPECIES
Ta 180.95 Ta.upf
Ge 72.64 Ge.upf
Te 127.60 Te.upf
Br 79.90 Br.upf
ATOMIC_POSITIONS crystal
Ta 0.000 0.000 0.000
Ge 0.500 0.500 0.000
Te 0.000 0.500 0.500
Te 0.500 0.000 0.500
Br 0.000 0.000 0.500
CELL_PARAMETERS angstrom
5.583 0.000 0.000
0.000 5.583 0.000
0.000 0.000 4.661
```

crystal system	tetragonal
space group	P4/mmm (123)
formation energy (no corrections)	1.43	eV/atom

DFT (PBEsol) results for crystalline Li2RePb at its relaxed geometry. Values from VASP.

Structure (Quantum ESPRESSO input):
```
&SYSTEM
  ibrav = 0, nat = 4, ntyp = 3
/
ATOMIC_SPECIES
Li 6.94 Li.upf
Re 186.21 Re.upf
Pb 207.20 Pb.upf
ATOMIC_POSITIONS crystal
Li 0.000 0.000 0.225
Li 0.000 0.000 0.775
Re 0.500 0.500 0.000
Pb 0.500 0.500 0.500
CELL_PARAMETERS angstrom
2.770 0.000 0.000
0.000 2.770 0.000
0.000 0.000 9.078
```

DFT formation energy	429	meV/atom
crystal system	tetragonal
space group	P4/mmm (123)

DFT (PBEsol) results for crystalline Mn4TeBr at its relaxed geometry. Values from VASP.

Structure (Quantum ESPRESSO input):
```
&SYSTEM
  ibrav = 0, nat = 6, ntyp = 3
/
ATOMIC_SPECIES
Mn 54.94 Mn.upf
Te 127.60 Te.upf
Br 79.90 Br.upf
ATOMIC_POSITIONS crystal
Mn 0.124 0.124 0.124
Mn 0.124 0.124 0.627
Mn 0.124 0.627 0.124
Mn 0.627 0.124 0.124
Te 0.750 0.750 0.750
Br 0.500 0.500 0.500
CELL_PARAMETERS angstrom
0.000 3.837 3.837
3.837 0.000 3.837
3.837 3.837 0.000
```

crystal system	cubic
space group	F-43m (216)
formation energy (no corrections)	0.75	eV/atom

DFT (PBEsol) results for crystalline HgPt4 at its relaxed geometry. Values from VASP.

Structure (Quantum ESPRESSO input):
```
&SYSTEM
  ibrav = 0, nat = 10, ntyp = 2
/
ATOMIC_SPECIES
Hg 200.59 Hg.upf
Pt 195.08 Pt.upf
ATOMIC_POSITIONS crystal
Hg 0.000 0.000 0.000
Hg 0.500 0.500 0.500
Pt 0.099 0.695 0.500
Pt 0.195 0.401 0.000
Pt 0.305 0.099 0.500
Pt 0.401 0.805 0.000
Pt 0.599 0.195 0.000
Pt 0.695 0.901 0.500
Pt 0.805 0.599 0.000
Pt 0.901 0.305 0.500
CELL_PARAMETERS angstrom
6.298 0.000 0.000
0.000 6.298 0.000
0.000 0.000 3.997
```

DFT formation energy	46	meV/atom
distance to the lowest polymorph of the same formula	0.0	meV/atom
crystal system	tetragonal
space group	I4/m (87)

DFT (PBEsol) results for crystalline OsBrCl at its relaxed geometry. Values from VASP.

Structure (Quantum ESPRESSO input):
```
&SYSTEM
  ibrav = 0, nat = 12, ntyp = 3
/
ATOMIC_SPECIES
Os 190.23 Os.upf
Br 79.90 Br.upf
Cl 35.45 Cl.upf
ATOMIC_POSITIONS crystal
Os 0.000 0.000 0.000
Os 0.000 0.500 0.500
Os 0.500 0.000 0.500
Os 0.500 0.500 0.000
Br 0.000 0.000 0.362
Br 0.000 0.500 0.862
Br 0.500 0.000 0.862
Br 0.500 0.500 0.362
Cl 0.000 0.000 0.628
Cl 0.000 0.500 0.128
Cl 0.500 0.000 0.128
Cl 0.500 0.500 0.628
CELL_PARAMETERS angstrom
2.983 0.000 0.000
0.000 5.687 0.000
0.000 0.000 14.302
```

distance to the lowest polymorph of the same formula	219.9	meV/atom
crystal system	orthorhombic
space group	Fmm2 (42)
formation energy (no corrections)	0.50	eV/atom

DFT (PBEsol) results for crystalline Y7O6F9 at its relaxed geometry. Values from VASP.

Structure (Quantum ESPRESSO input):
```
&SYSTEM
  ibrav = 0, nat = 44, ntyp = 3
/
ATOMIC_SPECIES
Y 88.91 Y.upf
O 16.00 O.upf
F 19.00 F.upf
ATOMIC_POSITIONS crystal
Y 0.035 0.035 0.210
Y 0.074 0.139 0.798
Y 0.200 0.299 0.776
Y 0.203 0.151 0.210
Y 0.324 0.323 0.212
Y 0.366 0.422 0.795
Y 0.463 0.466 0.209
Y 0.534 0.537 0.791
Y 0.578 0.634 0.205
Y 0.677 0.676 0.788
Y 0.701 0.800 0.224
Y 0.849 0.797 0.790
Y 0.861 0.926 0.202
Y 0.965 0.965 0.790
O 0.014 0.554 0.038
O 0.105 0.609 0.025
O 0.152 0.704 0.017
O 0.261 0.739 0.000
O 0.296 0.848 0.983
O 0.391 0.895 0.975
O 0.446 0.986 0.962
O 0.603 0.107 0.970
O 0.653 0.204 0.982
O 0.761 0.239 0.000
O 0.796 0.347 0.018
O 0.893 0.397 0.030
F 0.007 0.729 0.545
F 0.065 0.325 0.593
F 0.179 0.821 0.500
F 0.191 0.421 0.593
F 0.257 0.611 0.529
F 0.271 0.993 0.455
F 0.326 0.175 0.387
F 0.389 0.743 0.471
F 0.501 0.238 0.444
F 0.515 0.056 0.953
F 0.579 0.809 0.407
F 0.675 0.935 0.407
F 0.678 0.322 0.500
F 0.758 0.111 0.471
F 0.762 0.499 0.556
F 0.825 0.674 0.613
F 0.889 0.242 0.529
F 0.944 0.485 0.047
CELL_PARAMETERS angstrom
19.154 -2.743 0.000
19.154 2.743 0.000
-0.011 0.000 5.407
```

distance to the lowest polymorph of the same formula	0.0	meV/atom
crystal system	monoclinic
space group	C2 (5)
formation energy (no corrections)	-3.98	eV/atom

DFT (PBEsol) results for crystalline NaSn2Cl5 at its relaxed geometry. Values from VASP.

Structure (Quantum ESPRESSO input):
```
&SYSTEM
  ibrav = 0, nat = 32, ntyp = 3
/
ATOMIC_SPECIES
Na 22.99 Na.upf
Sn 118.71 Sn.upf
Cl 35.45 Cl.upf
ATOMIC_POSITIONS crystal
Na 0.000 0.000 0.247
Na 0.000 0.000 0.753
Na 0.500 0.500 0.253
Na 0.500 0.500 0.747
Sn 0.031 0.328 0.500
Sn 0.032 0.326 0.000
Sn 0.468 0.826 0.500
Sn 0.469 0.828 0.000
Sn 0.531 0.172 0.000
Sn 0.532 0.174 0.500
Sn 0.968 0.674 0.000
Sn 0.969 0.672 0.500
Cl 0.000 0.500 0.287
Cl 0.000 0.500 0.713
Cl 0.163 0.894 0.000
Cl 0.170 0.207 0.226
Cl 0.170 0.207 0.774
Cl 0.184 0.928 0.500
Cl 0.316 0.428 0.000
Cl 0.330 0.707 0.274
Cl 0.330 0.707 0.726
Cl 0.337 0.394 0.500
Cl 0.500 0.000 0.213
Cl 0.500 0.000 0.787
Cl 0.663 0.606 0.500
Cl 0.670 0.293 0.274
Cl 0.670 0.293 0.726
Cl 0.684 0.572 0.000
Cl 0.816 0.072 0.500
Cl 0.830 0.793 0.226
Cl 0.830 0.793 0.774
Cl 0.837 0.106 0.000
CELL_PARAMETERS angstrom
8.039 0.000 0.000
0.000 11.937 0.000
0.000 0.000 8.484
```

crystal system	orthorhombic
space group	Pnnm (58)
formation energy (no corrections)	-1.18	eV/atom

DFT (PBEsol) results for crystalline MoIrRh2 at its relaxed geometry. Values from VASP.

Structure (Quantum ESPRESSO input):
```
&SYSTEM
  ibrav = 0, nat = 4, ntyp = 3
/
ATOMIC_SPECIES
Mo 95.94 Mo.upf
Ir 192.22 Ir.upf
Rh 102.91 Rh.upf
ATOMIC_POSITIONS crystal
Mo 0.000 0.000 0.000
Ir 0.000 0.000 0.500
Rh 0.500 0.500 0.252
Rh 0.500 0.500 0.748
CELL_PARAMETERS angstrom
2.680 0.000 0.000
0.000 2.680 0.000
0.000 0.000 7.794
```

DFT formation energy	-85	meV/atom
distance to the lowest polymorph of the same formula	153.8	meV/atom
crystal system	tetragonal
space group	P4/mmm (123)

DFT (PBEsol) results for crystalline TeWCl9 at its relaxed geometry. Values from VASP.

Structure (Quantum ESPRESSO input):
```
&SYSTEM
  ibrav = 0, nat = 22, ntyp = 3
/
ATOMIC_SPECIES
Te 127.60 Te.upf
W 183.84 W.upf
Cl 35.45 Cl.upf
ATOMIC_POSITIONS crystal
Te 0.196 0.157 0.336
Te 0.804 0.843 0.664
W 0.382 0.243 0.797
W 0.618 0.757 0.203
Cl 0.024 0.374 0.344
Cl 0.113 0.194 0.593
Cl 0.141 0.352 0.899
Cl 0.223 0.122 0.126
Cl 0.247 0.997 0.794
Cl 0.364 0.734 0.015
Cl 0.387 0.883 0.327
Cl 0.458 0.702 0.561
Cl 0.478 0.535 0.215
Cl 0.522 0.465 0.785
Cl 0.542 0.298 0.439
Cl 0.613 0.117 0.673
Cl 0.636 0.266 0.985
Cl 0.753 0.003 0.206
Cl 0.777 0.878 0.874
Cl 0.859 0.648 0.101
Cl 0.887 0.806 0.407
Cl 0.976 0.626 0.656
CELL_PARAMETERS angstrom
6.416 0.000 0.000
-0.517 9.292 0.000
-2.833 -3.520 10.258
```

crystal system	triclinic
space group	P-1 (2)
formation energy (no corrections)	-0.70	eV/atom

DFT (PBEsol) results for crystalline KCaCr at its relaxed geometry. Values from VASP.

Structure (Quantum ESPRESSO input):
```
&SYSTEM
  ibrav = 0, nat = 3, ntyp = 3
/
ATOMIC_SPECIES
K 39.10 K.upf
Ca 40.08 Ca.upf
Cr 52.00 Cr.upf
ATOMIC_POSITIONS crystal
K 0.000 0.000 0.000
Ca 0.667 0.333 0.363
Cr 0.333 0.667 0.715
CELL_PARAMETERS angstrom
5.754 0.000 0.000
-2.877 4.983 0.000
0.000 0.000 3.542
```

DFT formation energy	973	meV/atom
distance to the lowest polymorph of the same formula	130.8	meV/atom
crystal system	trigonal
space group	P3m1 (156)

DFT (PBEsol) results for crystalline LaHgAu2 at its relaxed geometry. Values from VASP.

Structure (Quantum ESPRESSO input):
```
&SYSTEM
  ibrav = 0, nat = 8, ntyp = 3
/
ATOMIC_SPECIES
La 138.91 La.upf
Hg 200.59 Hg.upf
Au 196.97 Au.upf
ATOMIC_POSITIONS crystal
La 0.000 0.000 0.000
La 0.500 0.500 0.500
Hg 0.000 0.500 0.250
Hg 0.500 0.000 0.750
Au 0.000 0.000 0.500
Au 0.000 0.500 0.750
Au 0.500 0.000 0.250
Au 0.500 0.500 0.000
CELL_PARAMETERS angstrom
4.759 0.000 0.000
0.000 4.759 0.000
0.000 0.000 7.803
```

DFT formation energy	-553	meV/atom
crystal system	tetragonal
space group	I-4m2 (119)

DFT (PBEsol) results for crystalline Ga2IrRu at its relaxed geometry. Values from VASP.

Structure (Quantum ESPRESSO input):
```
&SYSTEM
  ibrav = 0, nat = 16, ntyp = 3
/
ATOMIC_SPECIES
Ga 69.72 Ga.upf
Ir 192.22 Ir.upf
Ru 101.07 Ru.upf
ATOMIC_POSITIONS crystal
Ga 0.250 0.250 0.250
Ga 0.250 0.250 0.750
Ga 0.250 0.750 0.250
Ga 0.250 0.750 0.750
Ga 0.750 0.250 0.250
Ga 0.750 0.250 0.750
Ga 0.750 0.750 0.250
Ga 0.750 0.750 0.750
Ir 0.000 0.000 0.000
Ir 0.000 0.500 0.500
Ir 0.500 0.000 0.500
Ir 0.500 0.500 0.000
Ru 0.000 0.000 0.500
Ru 0.000 0.500 0.000
Ru 0.500 0.000 0.000
Ru 0.500 0.500 0.500
CELL_PARAMETERS angstrom
5.996 0.000 0.000
0.000 5.996 0.000
0.000 0.000 5.996
```

DFT formation energy	-427	meV/atom
crystal system	cubic
space group	Fm-3m (225)

Computed values of uncorrected energy (unit: eV per cell) for the preceding records, in sequence: -19.3; -19.5; -40.0; -56.4; -58.4; -368.3; -117.7; -38.2; -86.3; -10.6; -31.9; -113.5.